Entry 1:
Entry from OQMD via LeMat-Bulk: a relaxed structure of HfCoHgGe (PBE).

The structure in POSCAR format:
```
HfCoHgGe
1.0
0.000 3.271 3.271
3.271 0.000 3.271
3.271 3.271 0.000
Co Ge Hf Hg
1 1 1 1
Direct
0.750 0.750 0.750
0.000 0.000 0.000
0.500 0.500 0.500
0.250 0.250 0.250
```

Computed properties:
For the distance to the lowest polymorph of the same formula, the calculation gives 102.1 meV per atom. As for the calculated volume: 70.02 Å³ per cell. The calculation puts the total magnetic moment at 0.2 Bohr magnetons per cell.



Entry 2:
Entry from OQMD via LeMat-Bulk: a relaxed structure of PmTcPt (PBE).

The structure in POSCAR format:
```
PmTcPt
1.0
-2.519 -1.932 3.386
-4.598 0.624 0.117
-2.847 -3.539 -0.956
Pm Pt Tc
1 1 1
Direct
0.250 0.250 0.250
0.000 0.000 0.000
0.750 0.750 0.750
```

Computed properties:
As for the formation energy: 15.9 kJ per mole of atoms. For the distance to the lowest polymorph of the same formula, the calculation gives 0.0 meV per atom. As for the calculated volume: 70.70 Å³ per cell. The calculation puts the total magnetic moment at 2.5 Bohr magnetons per cell.



Entry 3:
Entry from OQMD via LeMat-Bulk: a relaxed structure of Lu2AgPb (PBE).

The structure in POSCAR format:
```
Lu2AgPb
1.0
0.000 3.714 3.714
3.714 0.000 3.714
3.714 3.714 0.000
Ag Lu Pb
1 2 1
Direct
0.250 0.250 0.250
0.000 0.000 0.000
0.750 0.750 0.750
0.500 0.500 0.500
```

Computed properties:
As for the calculated volume: 102.44 Å³ per cell. The calculation puts the total magnetic moment at 0.0 Bohr magnetons per cell. The raw total energy comes out at -15.4 eV for the cell shown.